The following is a DFT calculation (PBE-GGA) of crystalline LiSm2ThTl4 at its relaxed geometry.

```
LiSm2ThTl4
1.0
2.6585 1.5349 9.1117
-2.6585 1.5349 9.1117
0.0000 -3.0697 9.1117
Li Sm Th Tl
1 2 1 4
Cartesian
0.0000 0.0000 0.0000
0.0000 0.0000 6.9781
0.0000 0.0000 20.3570
0.0000 0.0000 13.6675
0.0000 0.0000 3.3329
0.0000 0.0000 10.1659
0.0000 0.0000 17.1692
0.0000 0.0000 24.0022
```

Properties
energy relative to the elements	-0.27	eV/atom
D(E_F)	4.7	states/eV per cell
spin magnetization	0.000	μB per atom
total DFT energy (no corrections)	-3.7986	eV per atom